Ho12Al5Zn2 | PBE | relaxed

## Properties
The total energy comes out at -4.100 eV per atom. The calculation puts the formation energy at -9 kJ/mol of atoms. The value obtained for the density of states at the Fermi level is 20.98 states/eV per cell. The space-group type is C2/m (12). As for the total magnetization: 0.0 μB per formula unit.

Unit cell a=8.3922 b=8.5527 c=8.0182 alpha=86.81 beta=90.00 gamma=119.38
Positions (direct):
Al 0.7452 0.4904 0.2591
Ho 0.8687 0.2873 0.5903
Al 0.3547 0.7095 0.0737
Ho 0.9483 0.8967 0.1610
Ho 0.4186 0.2873 0.5903
Al 0.0000 0.0000 0.5000
Al 0.2548 0.5096 0.7409
Ho 0.6418 0.6643 0.8529
Zn 0.3099 0.0000 0.0000
Ho 0.0225 0.6643 0.8529
Ho 0.0517 0.1033 0.8390
Ho 0.4616 0.9232 0.7072
Ho 0.9775 0.3357 0.1471
Ho 0.1313 0.7127 0.4097
Ho 0.5384 0.0768 0.2928
Zn 0.6901 0.0000 0.0000
Ho 0.5814 0.7127 0.4097
Al 0.6453 0.2905 0.9263
Ho 0.3582 0.3357 0.1471